# 1
A relaxed ZrScZnRe crystal. Source: Alexandria via LeMat-Bulk, functional PBE.

Cell: 4.680 4.680 4.680 Å, 60.00 60.00 60.00°
Atoms (fractional coordinates):
Sc1 0.750 0.750 0.750
Re1 0.500 0.500 0.500
Zn1 0.000 0.000 0.000
Zr1 0.250 0.250 0.250

# 2
A relaxed ZrScRe crystal. Source: Alexandria via LeMat-Bulk, functional PBE.

Cell: 5.023 5.023 5.023 Å, 147.31 122.88 67.39°
Atoms (fractional coordinates):
Re1 0.999 0.999 0.000
Sc1 0.334 0.334 0.000
Zr1 0.667 0.667 0.000

# 3
A relaxed ZrSc2Re crystal. Source: Alexandria via LeMat-Bulk, functional PBE.

Cell: 5.750 5.750 5.750 Å, 145.28 129.17 63.03°
Atoms (fractional coordinates):
Sc1 0.037 0.037 0.000
Sc2 0.748 0.248 0.500
Re1 0.255 0.755 0.500
Zr1 0.460 0.460 0.000

# 4
A relaxed Zr2ScRe2 crystal. Source: Alexandria via LeMat-Bulk, functional PBE.

Cell: 7.647 7.647 3.385 Å, 90.00 90.00 90.00°
Atoms (fractional coordinates):
Sc1 0.000 0.000 0.000
Sc2 0.500 0.500 0.000
Re1 0.355 0.855 0.000
Re2 0.855 0.645 0.000
Re3 0.645 0.145 0.000
Re4 0.145 0.355 0.000
Zr1 0.152 0.652 0.500
Zr2 0.652 0.848 0.500
Zr3 0.848 0.348 0.500
Zr4 0.348 0.152 0.500

# 5
A relaxed ZrSc2Re crystal. Source: Alexandria via LeMat-Bulk, functional PBE.

Cell: 3.000 3.000 9.855 Å, 90.00 90.00 113.60°
Atoms (fractional coordinates):
Re1 0.500 0.500 0.750
Sc1 0.000 0.000 0.963
Sc2 0.000 0.000 0.537
Zr1 0.500 0.500 0.250

# 6
A relaxed Zr2Sc2Re crystal. Source: Alexandria via LeMat-Bulk, functional PBE.

Cell: 3.744 3.744 8.518 Å, 77.30 77.30 90.00°
Atoms (fractional coordinates):
Sc1 0.416 0.416 0.169
Sc2 0.584 0.584 0.831
Re1 0.000 0.000 0.000
Zr1 0.750 0.250 0.500
Zr2 0.250 0.750 0.500

# 7
A relaxed ZrScRe crystal. Source: Alexandria via LeMat-Bulk, functional PBE.

Cell: 5.982 5.982 5.982 Å, 147.60 147.60 46.48°
Atoms (fractional coordinates):
Re1 0.004 0.004 0.000
Sc1 0.359 0.359 0.000
Zr1 0.637 0.637 0.000

# 8
A relaxed ZrSc2Re crystal. Source: Alexandria via LeMat-Bulk, functional PBE.

Cell: 9.787 9.787 9.787 Å, 18.81 18.81 18.81°
Atoms (fractional coordinates):
Re1 0.249 0.249 0.249
Sc1 0.986 0.986 0.986
Sc2 0.753 0.753 0.753
Zr1 0.511 0.511 0.511

# 9
A relaxed Zr3ScRe crystal. Source: Alexandria via LeMat-Bulk, functional PBE.

Cell: 5.092 5.092 5.092 Å, 90.00 90.00 90.00°
Atoms (fractional coordinates):
Sc1 0.500 0.500 0.500
Re1 0.000 0.000 0.000
Zr1 0.000 0.500 0.000
Zr2 0.000 0.000 0.500
Zr3 0.500 0.000 0.000

# 10
A relaxed ZrSc2Re crystal. Source: Alexandria via LeMat-Bulk, functional PBE.

Cell: 5.562 5.562 2.888 Å, 90.00 90.00 117.92°
Atoms (fractional coordinates):
Re1 0.000 0.500 0.500
Sc1 0.000 0.000 0.000
Sc2 0.500 0.500 0.000
Zr1 0.500 0.000 0.500

# 11
A relaxed ZrSc2Re crystal. Source: Alexandria via LeMat-Bulk, functional PBE.

Cell: 4.081 4.081 10.509 Å, 78.80 78.80 90.00°
Atoms (fractional coordinates):
Sc1 0.641 0.125 0.250
Sc2 0.109 0.625 0.250
Sc3 0.375 0.359 0.750
Sc4 0.875 0.891 0.750
Re1 0.000 0.000 0.000
Re2 0.750 0.250 0.500
Zr1 0.500 0.500 0.000
Zr2 0.250 0.750 0.500

# 12
A relaxed ZrSc2Re crystal. Source: Alexandria via LeMat-Bulk, functional PBE.

Cell: 2.902 4.721 5.768 Å, 90.00 90.00 90.00°
Atoms (fractional coordinates):
Re1 0.500 0.500 0.750
Sc1 0.000 0.000 0.982
Sc2 0.000 0.000 0.518
Zr1 0.500 0.500 0.250

no.,calculated formation energy (eV/f.u.)
1,-0.933
2,0.268
3,-0.276
4,0.271
5,0.302
6,3.633
7,-0.322
8,0.435
9,2.271
10,0.543
11,1.764
12,0.394